Below is an optimized crystal structure of CaMg14VO16, with properties calculated at the PBE+U level.

CIF file:
```
data_CaMg14VO16
_symmetry_space_group_name_H-M 'P 1'
_symmetry_Int_Tables_number 1
_symmetry_space_group_name_Hall 'P 1'
_cell_length_a 8.6121
_cell_length_b 8.6121
_cell_length_c 4.3320
_cell_angle_alpha 90.00
_cell_angle_beta 90.00
_cell_angle_gamma 90.00
loop_
_atom_site_label
_atom_site_type_symbol
_atom_site_fract_x
_atom_site_fract_y
_atom_site_fract_z
_atom_site_occupancy
Ca1 Ca 0.0000 0.0000 0.0000 1
Mg1 Mg 0.0000 0.2559 0.5000 1
Mg2 Mg 0.0000 0.5000 0.0000 1
Mg3 Mg 0.0000 0.7441 0.5000 1
Mg4 Mg 0.2495 0.5000 0.5000 1
Mg5 Mg 0.2527 0.2527 0.0000 1
Mg6 Mg 0.2527 0.7473 0.0000 1
Mg7 Mg 0.2559 0.0000 0.5000 1
Mg8 Mg 0.5000 0.0000 0.0000 1
Mg9 Mg 0.5000 0.2495 0.5000 1
Mg10 Mg 0.5000 0.7505 0.5000 1
Mg11 Mg 0.7441 0.0000 0.5000 1
Mg12 Mg 0.7473 0.2527 0.0000 1
Mg13 Mg 0.7473 0.7473 0.0000 1
Mg14 Mg 0.7505 0.5000 0.5000 1
V1 V 0.5000 0.5000 0.0000 1
O1 O 0.0000 0.0000 0.5000 1
O2 O 0.0000 0.2630 0.0000 1
O3 O 0.0000 0.5000 0.5000 1
O4 O 0.0000 0.7370 0.0000 1
O5 O 0.2470 0.5000 0.0000 1
O6 O 0.2504 0.2504 0.5000 1
O7 O 0.2504 0.7496 0.5000 1
O8 O 0.2630 0.0000 0.0000 1
O9 O 0.5000 0.0000 0.5000 1
O10 O 0.5000 0.2470 0.0000 1
O11 O 0.5000 0.5000 0.5000 1
O12 O 0.5000 0.7530 0.0000 1
O13 O 0.7370 0.0000 0.0000 1
O14 O 0.7496 0.2504 0.5000 1
O15 O 0.7496 0.7496 0.5000 1
O16 O 0.7530 0.5000 0.0000 1
```

magnetization	3.0	μB per cell
total DFT energy (no corrections)	-6.096	eV per atom
distance to the lowest polymorph of the same formula	0	meV/atom